# 1
Li4InAsPd2, optimized geometry, DFT PBE; raw total energy = -3.74 eV/atom; V = 119.55 Å³ per cell
1.0
-2.6455 -2.1549 -2.7236
0.1255 -3.4808 2.6322
-4.9862 2.1789 3.1192
Pd In Li As
2 1 4 1
Direct
0.0000 0.5000 0.7710
0.5000 0.0000 0.2290
0.0000 0.0000 0.5000
0.5000 0.0000 0.7732
0.0000 0.0000 0.0000
0.5000 0.5000 0.5000
0.0000 0.5000 0.2268
0.5000 0.5000 0.0000

***

# 2
MgCu2SiTe3S, optimized geometry, DFT PBE; raw total energy = -3.85 eV/atom; V = 204.69 Å³ per cell
1.0
-1.8614 4.4693 3.5184
-1.4904 3.1755 -4.8490
-3.6100 -5.9947 0.7668
Te Cu Mg S Si
3 2 1 1 1
Direct
0.1293 0.6039 0.7368
0.8614 0.8614 0.2759
0.6039 0.1293 0.7368
0.2669 0.7163 0.4775
0.7163 0.2669 0.4775
0.0367 0.0367 0.0326
0.3987 0.3987 0.2516
0.4867 0.4867 0.0113

***

# 3
TePtNO, optimized geometry, DFT PBE; relative energy among the computed polymorphs = 0.000 eV per atom; V = 137.25 Å³ per cell
1.0
4.2025 0.0000 0.0000
0.0000 5.1071 0.0000
0.0000 0.0000 6.3948
Pt N Te O
2 2 2 2
Direct
0.0000 0.0884 0.5352
0.0000 0.5884 0.4648
0.0000 0.3711 0.7493
0.0000 0.8711 0.2507
0.5000 0.4700 0.7930
0.5000 0.9700 0.2070
0.5000 0.3244 0.0923
0.5000 0.8244 0.9077

***

> The highest V belongs to which entry?

MgCu2SiTe3S

***

> Look up the V of the second one.

204.69 Å³ per cell

***

What did the second record say?
MgCu2SiTe3S, optimized geometry, DFT PBE; raw total energy = -3.85 eV/atom; V = 204.69 Å³ per cell
1.0
-1.8614 4.4693 3.5184
-1.4904 3.1755 -4.8490
-3.6100 -5.9947 0.7668
Te Cu Mg S Si
3 2 1 1 1
Direct
0.1293 0.6039 0.7368
0.8614 0.8614 0.2759
0.6039 0.1293 0.7368
0.2669 0.7163 0.4775
0.7163 0.2669 0.4775
0.0367 0.0367 0.0326
0.3987 0.3987 0.2516
0.4867 0.4867 0.0113

***

What did the second record say?
MgCu2SiTe3S, optimized geometry, DFT PBE; raw total energy = -3.85 eV/atom; V = 204.69 Å³ per cell
1.0
-1.8614 4.4693 3.5184
-1.4904 3.1755 -4.8490
-3.6100 -5.9947 0.7668
Te Cu Mg S Si
3 2 1 1 1
Direct
0.1293 0.6039 0.7368
0.8614 0.8614 0.2759
0.6039 0.1293 0.7368
0.2669 0.7163 0.4775
0.7163 0.2669 0.4775
0.0367 0.0367 0.0326
0.3987 0.3987 0.2516
0.4867 0.4867 0.0113